Record 1
A plane-wave DFT calculation with PBE was carried out for Ti2SbCN after structural relaxation.

Results
V	102.31	Å³/cell
final energy	-26.2	eV for the cell shown
magnetic moment	0.1	μB per formula unit
energy relative to the elements, uncorrected	2.25	eV per atom

```
data_Ti2SbCN
_space_group_name_H-M_alt 'P 4/m m m'
_space_group_IT_number 123
_space_group_name_Hall '-P 4 2'
_cell_length_a 5.0747
_cell_length_b 5.0747
_cell_length_c 3.9729
_cell_angle_alpha 90.00
_cell_angle_beta 90.00
_cell_angle_gamma 90.00
loop_
_atom_site_label
_atom_site_fract_x
_atom_site_fract_y
_atom_site_fract_z
_atom_site_occupancy
Ti1 0.0000 0.5000 0.0000 1
Sb1 0.0000 0.0000 0.0000 1
C1 0.5000 0.5000 0.5000 1
N1 0.0000 0.0000 0.5000 1
```

Record 2
A plane-wave DFT calculation with PBE was carried out for CdIn2PtI after structural relaxation.

Results
V	150.15	Å³/cell
final energy	-15.8	eV for the cell shown
magnetic moment	0.0	μB per formula unit
energy relative to the elements, uncorrected	-0.36	eV per atom

```
data_CdIn2PtI
_space_group_name_H-M_alt 'P 4/m m m'
_space_group_IT_number 123
_space_group_name_Hall '-P 4 2'
_cell_length_a 5.2828
_cell_length_b 5.2828
_cell_length_c 5.3803
_cell_angle_alpha 90.00
_cell_angle_beta 90.00
_cell_angle_gamma 90.00
loop_
_atom_site_label
_atom_site_fract_x
_atom_site_fract_y
_atom_site_fract_z
_atom_site_occupancy
Cd1 0.0000 0.0000 0.0000 1
In1 0.0000 0.5000 0.5000 1
Pt1 0.0000 0.0000 0.5000 1
I1 0.5000 0.5000 0.0000 1
```

Record 3
A plane-wave DFT calculation with PBE was carried out for In2CoRuCl after structural relaxation.

Results
V	125.12	Å³/cell
final energy	-21.8	eV for the cell shown
magnetic moment	2.4	μB per formula unit
energy relative to the elements, uncorrected	0.38	eV per atom

```
data_In2CoRuCl
_space_group_name_H-M_alt 'P 4/m m m'
_space_group_IT_number 123
_space_group_name_Hall '-P 4 2'
_cell_length_a 5.2759
_cell_length_b 5.2759
_cell_length_c 4.4950
_cell_angle_alpha 90.00
_cell_angle_beta 90.00
_cell_angle_gamma 90.00
loop_
_atom_site_label
_atom_site_fract_x
_atom_site_fract_y
_atom_site_fract_z
_atom_site_occupancy
In1 0.0000 0.5000 0.0000 1
Co1 0.0000 0.0000 0.5000 1
Ru1 0.0000 0.0000 0.0000 1
Cl1 0.5000 0.5000 0.5000 1
```

Q: Which value of V does entry 3 give?
A: 125.12 Å³/cell

Q: The lowest energy relative to the elements, uncorrected belongs to which entry?
A: CdIn2PtI

Repeat the third record exactly.
A plane-wave DFT calculation with PBE was carried out for In2CoRuCl after structural relaxation.

Results
V	125.12	Å³/cell
final energy	-21.8	eV for the cell shown
magnetic moment	2.4	μB per formula unit
energy relative to the elements, uncorrected	0.38	eV per atom

```
data_In2CoRuCl
_space_group_name_H-M_alt 'P 4/m m m'
_space_group_IT_number 123
_space_group_name_Hall '-P 4 2'
_cell_length_a 5.2759
_cell_length_b 5.2759
_cell_length_c 4.4950
_cell_angle_alpha 90.00
_cell_angle_beta 90.00
_cell_angle_gamma 90.00
loop_
_atom_site_label
_atom_site_fract_x
_atom_site_fract_y
_atom_site_fract_z
_atom_site_occupancy
In1 0.0000 0.5000 0.0000 1
Co1 0.0000 0.0000 0.5000 1
Ru1 0.0000 0.0000 0.0000 1
Cl1 0.5000 0.5000 0.5000 1
```

Q: Which of these has the lowest magnetic moment?
A: CdIn2PtI